Ac2Al4Cu3Pd | Alexandria via LeMat-Bulk | GGA-PBE | optimized geometry; ΔH_f (0 K) = -455 meV per atom; N(E_F) = 6.682 states/eV per cell
1.0
4.422 0.000 0.000
0.000 4.422 0.000
0.000 0.000 10.357
Ac Al Cu Pd
2 4 3 1
Direct
0.000 0.500 0.246 Ac
0.500 0.000 0.754 Ac
0.000 0.000 0.500 Al
0.000 0.500 0.880 Al
0.500 0.000 0.120 Al
0.500 0.500 0.500 Al
0.000 0.000 0.000 Cu
0.000 0.500 0.629 Cu
0.500 0.000 0.371 Cu
0.500 0.500 0.000 Pd